Record 1
This record from the Alexandria database describes a relaxed structure of BaAs2Pt6. The functional is PBE.

Cell: 4.0820 4.0820 10.4602 Å, 90.00 90.00 90.00°
Closest atoms and distances in Å follow each position.
Fractional coordinates of all 9 atoms:
Ba1 0.0000 0.0000 0.0000  8 As 3.41
As1 0.5000 0.5000 0.1733  4 Pt 2.48
As2 0.5000 0.5000 0.8267  4 Pt 2.48
Pt1 0.0000 0.5000 0.3085  2 As 2.48
Pt2 0.5000 0.0000 0.3085  2 As 2.48
Pt3 0.0000 0.5000 0.6915  2 As 2.48
Pt4 0.5000 0.0000 0.6915  2 As 2.48
Pt5 0.5000 0.5000 0.5000  12 Pt 2.86-2.89
Pt6 0.0000 0.0000 0.5000  12 Pt 2.86-2.89

Results
The calculation puts the density at 13.9 g/cm3. The formation energy comes out at -0.41 eV/atom.



Record 2
This record from the Alexandria database describes a relaxed structure of Ba3LiAu2. The functional is PBE.

Cell: 4.7014 13.8775 13.2461 Å, 90.00 90.00 90.00°
Closest atoms and distances in Å follow each position.
Fractional coordinates of all 24 atoms:
Ba1 0.2500 0.3796 0.0619  5 Au 3.52-3.66, 1 Li 3.53
Ba2 0.7500 0.6204 0.9381  5 Au 3.52-3.66, 1 Li 3.53
Ba3 0.7500 0.8796 0.4381  5 Au 3.52-3.66, 1 Li 3.53
Ba4 0.2500 0.1204 0.5619  5 Au 3.52-3.66, 1 Li 3.53
Ba5 0.2500 0.6939 0.1971  4 Au 3.36-3.55, 2 Li 3.44
Ba6 0.7500 0.3061 0.8029  4 Au 3.36-3.55, 2 Li 3.44
Ba7 0.7500 0.1939 0.3029  4 Au 3.36-3.55, 2 Li 3.44
Ba8 0.2500 0.8061 0.6971  4 Au 3.36-3.55, 2 Li 3.44
Ba9 0.2500 0.4403 0.3744  3 Li 3.46-3.56, 5 Au 3.53-3.59
Ba10 0.7500 0.5597 0.6256  3 Li 3.46-3.56, 5 Au 3.53-3.59
Ba11 0.7500 0.9403 0.1256  3 Li 3.46-3.56, 5 Au 3.53-3.59
Ba12 0.2500 0.0597 0.8744  3 Li 3.46-3.56, 5 Au 3.53-3.59
Li1 0.2500 0.1326 0.1244  3 Au 2.71-2.86
Li2 0.7500 0.8674 0.8756  3 Au 2.71-2.86
Li3 0.7500 0.6326 0.3756  3 Au 2.71-2.86
Li4 0.2500 0.3674 0.6244  3 Au 2.71-2.86
Au1 0.2500 0.6803 0.4650  2 Li 2.71
Au2 0.7500 0.3197 0.5350  2 Li 2.71
Au3 0.7500 0.1803 0.0350  2 Li 2.71
Au4 0.2500 0.8197 0.9650  2 Li 2.71
Au5 0.2500 0.0208 0.3061  1 Li 2.86
Au6 0.7500 0.9792 0.6939  1 Li 2.86
Au7 0.7500 0.5208 0.1939  1 Li 2.86
Au8 0.2500 0.4792 0.8061  1 Li 2.86

Results
The value obtained for the energy above the most stable polymorph in this dataset is 0.000 eV/atom. The calculation puts the density at 6.2 g/cm3. The formation energy comes out at -0.51 eV/atom.



Record 3
This record from the Alexandria database describes a relaxed structure of Sr2TcAgSn. The functional is PBE.

Cell: 6.2524 5.0668 6.2524 Å, 90.00 90.00 90.00°
Closest atoms and distances in Å follow each position.
Fractional coordinates of all 5 atoms:
Sr1 0.0000 0.0000 0.5000  2 Sn 3.13
Sr2 0.5000 0.0000 0.0000  2 Sn 3.13
Sn1 0.0000 0.0000 0.0000  2 Tc 2.53
Ag1 0.5000 0.5000 0.5000  8 Sr 4.02, 4 Tc 4.42
Tc1 0.0000 0.5000 0.0000  2 Sn 2.53

Results
The calculation puts the density at 4.2 g/cm3. The formation energy comes out at 0.61 eV/atom.



Record 4
This record from the Alexandria database describes a relaxed structure of Dy2Fe17C2. The functional is PBE.

Cell: 6.4506 6.4506 6.4849 Å, 83.59 83.59 83.30°
Closest atoms and distances in Å follow each position.
Fractional coordinates of all 21 atoms:
Dy1 0.6535 0.6535 0.6639  2 C 2.51
Dy2 0.3465 0.3465 0.3361  2 C 2.51
Fe1 0.9033 0.9033 0.9040  7 Fe 2.39-2.66
Fe2 0.0967 0.0967 0.0960  7 Fe 2.39-2.66
Fe3 0.3456 0.3456 0.8549  9 Fe 2.46-2.66
Fe4 0.3442 0.8523 0.3416  1 C 1.91
Fe5 0.8523 0.3442 0.3416  1 C 1.91
Fe6 0.6544 0.6544 0.1451  9 Fe 2.46-2.66
Fe7 0.6558 0.1477 0.6584  1 C 1.91
Fe8 0.1477 0.6558 0.6584  1 C 1.91
Fe9 0.2860 0.7140 0.0000  8 Fe 2.43-2.62
Fe10 0.7148 0.9986 0.2848  1 C 1.85
Fe11 0.0014 0.2852 0.7152  1 C 1.85
Fe12 0.2852 0.0014 0.7152  1 C 1.85
Fe13 0.9986 0.7148 0.2848  1 C 1.85
Fe14 0.7140 0.2860 0.0000  8 Fe 2.43-2.62
Fe15 0.0000 0.0000 0.5000  10 Fe 2.43-2.65
Fe16 0.0000 0.5000 0.0000  10 Fe 2.43-2.63
Fe17 0.5000 0.0000 0.0000  10 Fe 2.43-2.63
C1 0.5000 0.0000 0.5000  4 Fe 1.85-1.91
C2 0.0000 0.5000 0.5000  4 Fe 1.85-1.91

Results
The calculation puts the density at 8.1 g/cm3. The formation energy comes out at -0.06 eV/atom.



Record 5
This record from the Alexandria database describes a relaxed structure of AcPrHoMg. The functional is PBE.

Cell: 3.8422 3.8422 9.0915 Å, 90.00 90.00 90.00°
Closest atoms and distances in Å follow each position.
Fractional coordinates of all 4 atoms:
Ac1 0.0000 0.0000 0.0801  4 Ho 3.73, 4 Pr 3.83, 4 Ac 3.84
Pr1 0.5000 0.5000 0.7835  4 Mg 3.39
Ho1 0.5000 0.5000 0.3607  4 Mg 3.27
Mg1 0.0000 0.0000 0.5604  4 Ho 3.27, 4 Pr 3.39

Results
The value obtained for the energy above the most stable polymorph in this dataset is 0.000 eV/atom. The calculation puts the density at 6.9 g/cm3. The formation energy comes out at -0.02 eV/atom.



Record 6
This record from the Alexandria database describes a relaxed structure of NbGaSeN2. The functional is PBE.

Cell: 4.0234 4.0234 5.5186 Å, 90.00 90.00 90.00°
Closest atoms and distances in Å follow each position.
Fractional coordinates of all 5 atoms:
Nb1 0.0000 0.0000 0.0000  4 N 2.01
Ga1 0.5000 0.5000 0.5000  4 Se 2.84
Se1 0.0000 0.0000 0.5000  2 Nb 2.76, 4 Ga 2.84
N1 0.0000 0.5000 0.0000  2 Nb 2.01
N2 0.5000 0.0000 0.0000  2 Nb 2.01

Results
The value obtained for the energy above the most stable polymorph in this dataset is 0.000 eV/atom. The calculation puts the density at 5.0 g/cm3. For the formation energy (no corrections), the calculation gives 0.197 eV per atom.



Record 7
This record from the Alexandria database describes a relaxed structure of Ac2PmTmP4. The functional is PBE.

Cell: 4.2462 7.3643 7.3482 Å, 70.59 90.00 90.00°
Closest atoms and distances in Å follow each position.
Fractional coordinates of all 8 atoms:
Ac1 0.0000 0.0000 0.0000  6 P 3.11
Ac2 0.5000 0.0000 0.5000  6 P 3.07
Pm1 0.5000 0.5000 0.0000  6 P 2.94
Tm1 0.0000 0.5000 0.5000  6 P 2.89-2.90
P1 0.0000 0.7301 0.7516  1 Tm 2.89, 2 Pm 2.94, 3 Ac 3.07-3.11
P2 0.0000 0.2699 0.2484  1 Tm 2.89, 2 Pm 2.94, 3 Ac 3.07-3.11
P3 0.5000 0.7271 0.2624  2 Tm 2.90, 1 Pm 2.94, 3 Ac 3.07-3.11
P4 0.5000 0.2729 0.7376  2 Tm 2.90, 1 Pm 2.94, 3 Ac 3.07-3.11

Results
The calculation puts the density at 6.8 g/cm3. The formation energy comes out at -1.48 eV/atom.



Record 8
This record from the Alexandria database describes a relaxed structure of Ba3EuRh. The functional is PBE.

Cell: 6.2022 6.2022 6.2022 Å, 90.00 90.00 90.00°
Closest atoms and distances in Å follow each position.
Fractional coordinates of all 5 atoms:
Eu1 0.5000 0.5000 0.5000  12 Ba 4.39
Rh1 0.0000 0.0000 0.0000  6 Ba 3.10
Ba1 0.0000 0.5000 0.0000  2 Rh 3.10
Ba2 0.0000 0.0000 0.5000  2 Rh 3.10
Ba3 0.5000 0.0000 0.0000  2 Rh 3.10

Results
The calculation puts the density at 4.6 g/cm3. The formation energy comes out at -0.07 eV/atom.



Record 9
This record from the Alexandria database describes a relaxed structure of ReSn3H. The functional is PBE.

Cell: 5.1501 5.1501 5.1501 Å, 90.00 90.00 90.00°
Closest atoms and distances in Å follow each position.
Fractional coordinates of all 5 atoms:
Re1 0.0000 0.0000 0.0000  6 Sn 2.58
Sn1 0.0000 0.5000 0.0000  2 Re 2.58
Sn2 0.0000 0.0000 0.5000  2 Re 2.58
Sn3 0.5000 0.0000 0.0000  2 Re 2.58
H1 0.5000 0.5000 0.5000  12 Sn 3.64

Results
The value obtained for the energy above the most stable polymorph in this dataset is 0.000 eV/atom. The calculation puts the density at 6.6 g/cm3.



Record 10
This record from the Alexandria database describes a relaxed structure of PrDyHo2Bi4. The functional is PBE.

Cell: 4.5154 7.8117 7.8135 Å, 70.51 90.00 90.00°
Closest atoms and distances in Å follow each position.
Fractional coordinates of all 8 atoms:
Pr1 0.5000 0.5000 0.0000  6 Bi 3.24
Dy1 0.0000 0.5000 0.5000  6 Bi 3.19-3.20
Ho1 0.0000 0.0000 0.0000  6 Bi 3.19
Ho2 0.5000 0.0000 0.5000  6 Bi 3.14
Bi1 0.0000 0.7583 0.7423  3 Ho 3.14-3.19, 1 Dy 3.19, 2 Pr 3.24
Bi2 0.0000 0.2417 0.2577  3 Ho 3.14-3.19, 1 Dy 3.19, 2 Pr 3.24
Bi3 0.5000 0.7548 0.2532  3 Ho 3.14-3.19, 2 Dy 3.20, 1 Pr 3.24
Bi4 0.5000 0.2452 0.7468  3 Ho 3.14-3.19, 2 Dy 3.20, 1 Pr 3.24

Results
The calculation puts the density at 9.4 g/cm3. The formation energy comes out at -0.87 eV/atom.



Record 11
This record from the Alexandria database describes a relaxed structure of IrBr3N. The functional is PBE.

Cell: 7.7346 6.6472 13.0652 Å, 95.53 89.64 102.35°
Closest atoms and distances in Å follow each position.
Fractional coordinates of all 20 atoms:
Ir1 0.0463 0.3770 0.1126  1 N 2.00
Ir2 0.0870 0.6266 0.6253  1 N 2.00
Ir3 0.9130 0.3734 0.3747  1 N 2.00
Ir4 0.9537 0.6230 0.8874  1 N 2.00
Br1 0.6223 0.2420 0.4480  1 Ir 2.46
Br2 0.7021 0.7383 0.9722  1 Ir 2.46
Br3 0.2104 0.5079 0.7825  2 Ir 2.53-2.61
Br4 0.1331 0.7272 0.0503  2 Ir 2.49-2.50
Br5 0.2101 0.5081 0.2812  2 Ir 2.53-2.62
Br6 0.3777 0.7580 0.5520  1 Ir 2.46
Br7 0.9372 0.7182 0.4722  2 Ir 2.48-2.51
Br8 0.7899 0.4919 0.7188  2 Ir 2.53-2.62
Br9 0.8669 0.2728 0.9497  2 Ir 2.49-2.50
Br10 0.7896 0.4921 0.2175  2 Ir 2.53-2.61
Br11 0.2979 0.2617 0.0278  1 Ir 2.46
Br12 0.0628 0.2818 0.5278  2 Ir 2.48-2.51
N1 0.9237 0.1292 0.2751  1 N 1.15
N2 0.9569 0.1295 0.1888  1 N 1.15
N3 0.0431 0.8705 0.8112  1 N 1.15
N4 0.0763 0.8708 0.7249  1 N 1.15

Results
The value obtained for the energy above the most stable polymorph in this dataset is 0.000 eV/atom. The calculation puts the density at 4.5 g/cm3. For the formation energy (no corrections), the calculation gives -0.067 eV per atom.



Record 12
This record from the Alexandria database describes a relaxed structure of Ac3Sb2Te2. The functional is PBE.

Cell: 4.8089 8.5108 9.4399 Å, 122.66 104.76 90.00°
Closest atoms and distances in Å follow each position.
Fractional coordinates of all 7 atoms:
Ac1 0.0000 0.5000 0.0000  2 Te 3.35, 4 Sb 3.37
Ac2 0.2850 0.7798 0.5700  3 Te 3.31-3.40, 3 Sb 3.35-3.43
Ac3 0.7150 0.2202 0.4300  3 Te 3.31-3.40, 3 Sb 3.35-3.43
Sb1 0.6476 0.7651 0.2953  5 Ac 3.35-3.43
Sb2 0.3524 0.2349 0.7047  5 Ac 3.35-3.43
Te1 0.8806 0.6886 0.7612  4 Ac 3.31-3.40
Te2 0.1194 0.3114 0.2388  4 Ac 3.31-3.40

Results
The calculation puts the density at 6.3 g/cm3. For the formation energy (no corrections), the calculation gives -1.114 eV per atom.



Record 13
This record from the Alexandria database describes a relaxed structure of Th2CoSi3Pt4. The functional is PBE.

Cell: 4.2510 4.2510 9.9817 Å, 90.00 90.00 90.00°
Closest atoms and distances in Å follow each position.
Fractional coordinates of all 10 atoms:
Th1 0.5000 0.0000 0.2529  8 Pt 3.23-3.30, 6 Si 3.24-3.26, 2 Co 3.26
Th2 0.0000 0.5000 0.7471  8 Pt 3.23-3.30, 6 Si 3.24-3.26, 2 Co 3.26
Co1 0.5000 0.5000 0.5000  4 Pt 2.48
Si1 0.0000 0.0000 0.5000  4 Pt 2.48
Si2 0.5000 0.0000 0.8689  5 Pt 2.40-2.50
Si3 0.0000 0.5000 0.1311  5 Pt 2.40-2.50
Pt1 0.5000 0.5000 0.0000  4 Si 2.50
Pt2 0.0000 0.0000 0.0000  4 Si 2.50
Pt3 0.5000 0.0000 0.6285  3 Si 2.40-2.48, 2 Co 2.48
Pt4 0.0000 0.5000 0.3715  3 Si 2.40-2.48, 2 Co 2.48

Results
The calculation puts the density at 12.8 g/cm3. For the formation energy (no corrections), the calculation gives -0.976 eV per atom.



Record 14
This record from the Alexandria database describes a relaxed structure of RbHfFe3. The functional is PBE.

Cell: 4.5524 4.5524 4.5524 Å, 90.00 90.00 90.00°
Closest atoms and distances in Å follow each position.
Fractional coordinates of all 5 atoms:
Hf1 0.5000 0.5000 0.5000  12 Fe 3.22
Fe1 0.0000 0.5000 0.0000  2 Rb 2.28
Fe2 0.0000 0.0000 0.5000  2 Rb 2.28
Fe3 0.5000 0.0000 0.0000  2 Rb 2.28
Rb1 0.0000 0.0000 0.0000  6 Fe 2.28

Results
The value obtained for the energy above the most stable polymorph in this dataset is 0.952 eV/atom. The calculation puts the density at 7.6 g/cm3. The formation energy comes out at 2.39 eV/atom.



Record 15
This record from the Alexandria database describes a relaxed structure of BaPaPO2. The functional is PBE.

Cell: 6.2335 6.2335 7.1427 Å, 115.87 115.87 90.00°
Closest atoms and distances in Å follow each position.
Fractional coordinates of all 10 atoms:
Ba1 0.7987 0.2987 0.5973  4 O 2.99, 4 P 3.18
Ba2 0.2987 0.7987 0.5973  4 O 2.99, 4 P 3.18
Pa1 0.0009 0.0009 0.0018  4 O 2.22
Pa2 0.5009 0.5009 0.0018  4 O 2.22
P1 0.7439 0.7439 0.4878  2 Pa 2.73-2.89
P2 0.2439 0.2439 0.4878  2 Pa 2.73-2.89
O1 0.2286 0.7286 0.9568  2 Pa 2.22
O2 0.7286 0.7282 0.9568  2 Pa 2.22
O3 0.7282 0.2282 0.9568  2 Pa 2.22
O4 0.2282 0.2286 0.9568  2 Pa 2.22

Results
The calculation puts the density at 6.6 g/cm3. For the formation energy (no corrections), the calculation gives -2.543 eV per atom.



Record 16
This record from the Alexandria database describes a relaxed structure of Y2Zn2Fe. The functional is PBE.

Cell: 3.4468 3.4468 9.2074 Å, 79.21 79.21 90.00°
Closest atoms and distances in Å follow each position.
Fractional coordinates of all 5 atoms:
Y1 0.4092 0.4092 0.1816  4 Fe 2.92, 1 Y 3.22
Y2 0.5908 0.5908 0.8184  4 Fe 2.92, 1 Y 3.22
Zn1 0.7500 0.2500 0.5000  4 Zn 2.44
Zn2 0.2500 0.7500 0.5000  4 Zn 2.44
Fe1 0.0000 0.0000 0.0000  8 Y 2.92

Results
The value obtained for the energy above the most stable polymorph in this dataset is 0.135 eV/atom. The calculation puts the density at 5.7 g/cm3. The formation energy comes out at 0.09 eV/atom.